No. 1
The following is a DFT calculation (GGA-PBE) of a relaxed structure of Li2TlW.

Unit cell a=2.826 b=2.826 c=9.810 alpha=90.00 beta=90.00 gamma=111.38
Element x y z (fractional)
Li 0.000 0.000 0.512
Li 0.000 0.000 0.988
W 0.500 0.500 0.750
Tl 0.500 0.500 0.250

Summary:
- Crystal system: orthorhombic

***

No. 2
The following is a DFT calculation (GGA-PBE) of a relaxed structure of LiTlW.

Unit cell a=7.692 b=7.491 c=2.869 alpha=83.08 beta=75.19 gamma=21.73
Element x y z (fractional)
Tl 0.337 0.337 0.663
W 0.661 0.661 0.339
Li 0.003 0.003 0.997

Summary:
- Crystal system: orthorhombic

***

| no. | offset from the most stable computed form (meV/atom) | energy of formation from the pure elements (eV per atom) |
| --- | --- | --- |
| 1 | 0.0 | 0.411 |
| 2 | 0.0 | 0.633 |